CoRh2O6 GGA+U relaxed; final energy = -6.14 eV per atom; offset from the most stable computed form = 0 meV/atom; symmetry = No. 162; spin magnetization = 2.64 μB per formula unit
1.0
5.088 0.000 0.000
-2.544 4.406 0.000
0.000 0.000 4.277
Co Rh O
1 2 6
Direct
0.000 0.000 0.000 Co
0.333 0.667 0.500 Rh
0.667 0.333 0.500 Rh
0.000 0.349 0.246 O
0.000 0.651 0.754 O
0.349 0.000 0.246 O
0.349 0.349 0.754 O
0.651 0.000 0.754 O
0.651 0.651 0.246 O